[1]
The following is a DFT calculation (PBE) of Cr2GeC after structural relaxation.

Cell and atoms, written as extended XYZ:
```
4
Lattice="0.0000 2.7965 2.7965 2.7965 0.0000 2.7965 2.7965 2.7965 0.0000" Properties=species:S:1:pos:R:3 pbc="T T T"
Cr 1.3982 1.3982 1.3982
Cr 4.1947 4.1947 4.1947
Ge 0.0000 0.0000 0.0000
C 2.7965 2.7965 2.7965
```

- energy above the lowest structure with this stoichiometry (meV/atom) = 1040.7
- space-group type = Fm-3m (225)



[2]
The following is a DFT calculation (PBE) of Cr2GeC after structural relaxation.

Cell and atoms, written as extended XYZ:
```
8
Lattice="-3.1134 3.1134 2.3695 3.1134 -3.1134 2.3695 3.1134 3.1134 -2.3695" Properties=species:S:1:pos:R:3 pbc="T T T"
Cr 4.6701 1.0010 -0.5924
Cr 1.0010 1.5567 0.5924
Cr -1.5567 2.1124 1.7771
Cr 2.1124 1.5567 2.9619
Ge 3.1134 0.0000 1.1848
Ge 0.0000 0.0000 2.3695
C 0.0000 0.0000 0.0000
C 0.0000 3.1134 1.1848
```

- energy above the lowest structure with this stoichiometry (meV/atom) = 426.9
- space-group type = I-42d (122)



[3]
The following is a DFT calculation (PBE) of Cr7Ge2C2 after structural relaxation.

Cell and atoms, written as extended XYZ:
```
11
Lattice="2.9688 -4.0846 0.0000 2.9688 4.0846 0.0000 0.0000 0.0000 5.5557" Properties=species:S:1:pos:R:3 pbc="T T T"
Cr 0.0000 0.0000 0.0000
Cr 1.4844 2.0423 1.3238
Cr 1.4844 2.0423 4.2320
Cr 1.4844 -2.0423 1.3238
Cr 1.4844 -2.0423 4.2320
Cr 2.9688 0.0000 1.0150
Cr 2.9688 0.0000 4.5407
Ge 1.2441 0.0000 2.7779
Ge 4.6934 0.0000 2.7779
C 2.9688 1.8801 0.0000
C 2.9688 -1.8801 0.0000
```

- space-group type = Cmmm (65)



| no. | ρ (g/cm³) | energy (eV/atom) |
| --- | --- | --- |
| 1 | 7.16 | -7.32 |
| 2 | 6.82 | -7.93 |
| 3 | 6.57 | -8.44 |